<P>
# PmPrDySc

A geometry-optimized PmPrDySc structure (GGA-PBE, the Alexandria database).

```
PmPrDySc
1.0
0.0000 3.9835 3.9835
3.9835 0.0000 3.9835
3.9835 3.9835 0.0000
Pm Pr Dy Sc
1 1 1 1
direct
0.0000 0.0000 0.0000
0.5000 0.5000 0.5000
0.2500 0.2500 0.2500
0.7500 0.7500 0.7500
```

Computed properties:
Space-group type   No. 216

---

<Q>
# PmPrDySc

A geometry-optimized PmPrDySc structure (GGA-PBE, the Alexandria database).

```
PmPrDySc
1.0
-1.7253 3.0504 6.1235
1.7253 -3.0504 6.1235
1.7253 3.0504 -6.1235
Pm Pr Dy Sc
1 1 1 1
direct
0.0000 0.0000 0.0000
0.2758 0.2758 0.0000
0.5122 0.0122 0.5000
0.7340 0.7340 0.0000
```

Computed properties:
Space-group type   No. 44

---

Which is most stable? The ranking, best first, is <P>, <Q>.

---

<P>
# PmPrDyTh

A geometry-optimized PmPrDyTh structure (GGA-PBE, the Alexandria database).

```
PmPrDyTh
1.0
0.0000 4.0652 4.0652
4.0652 0.0000 4.0652
4.0652 4.0652 0.0000
Pm Pr Dy Th
1 1 1 1
direct
0.0000 0.0000 0.0000
0.7500 0.7500 0.7500
0.5000 0.5000 0.5000
0.2500 0.2500 0.2500
```

Computed properties:
Space-group type   No. 216

---

<Q>
# PmPrDyTh

A geometry-optimized PmPrDyTh structure (GGA-PBE, the Alexandria database).

```
PmPrDyTh
1.0
3.6145 0.0000 0.0000
0.0000 3.6145 0.0000
0.0000 0.0000 10.2912
Pm Pr Dy Th
1 1 1 1
direct
0.0000 0.0000 0.0000
0.5000 0.5000 0.2672
0.0000 0.0000 0.5247
0.5000 0.5000 0.7594
```

Computed properties:
Space-group type   No. 99

---

Which is most stable? The ranking, best first, is <Q>, <P>.

---

<P>
# PmPrDyTl

A geometry-optimized PmPrDyTl structure (GGA-PBE, the Alexandria database).

```
PmPrDyTl
1.0
4.8979 0.0000 0.0000
0.0000 4.9296 0.0000
0.0000 0.0000 5.0262
Pm Pr Dy Tl
1 1 1 1
direct
0.0000 0.0000 0.0000
0.5000 0.5000 0.0000
0.0000 0.5000 0.5000
0.5000 0.0000 0.5000
```

Computed properties:
Space-group type   No. 47

---

<Q>
# PmPrDyTl

A geometry-optimized PmPrDyTl structure (GGA-PBE, the Alexandria database).

```
PmPrDyTl
1.0
0.0000 3.9545 3.9545
3.9545 0.0000 3.9545
3.9545 3.9545 0.0000
Pm Pr Dy Tl
1 1 1 1
direct
0.0000 0.0000 0.0000
0.5000 0.5000 0.5000
0.2500 0.2500 0.2500
0.7500 0.7500 0.7500
```

Computed properties:
Space-group type   No. 216

---

Which is most stable? The ranking, best first, is <P>, <Q>.

---

<P>
# PmPrDyZn

A geometry-optimized PmPrDyZn structure (GGA-PBE, the Alexandria database).

```
PmPrDyZn
1.0
3.6388 0.0000 0.0000
0.0000 3.6388 0.0000
0.0000 0.0000 8.7969
Pm Pr Dy Zn
1 1 1 1
direct
0.0000 0.0000 0.0000
0.5000 0.5000 0.3022
0.0000 0.0000 0.5941
0.5000 0.5000 0.7858
```

Computed properties:
Space-group type   No. 99

---

<Q>
# PmPrDyZn

A geometry-optimized PmPrDyZn structure (GGA-PBE, the Alexandria database).

```
PmPrDyZn
1.0
0.0000 3.8538 3.8538
3.8538 0.0000 3.8538
3.8538 3.8538 0.0000
Pm Pr Dy Zn
1 1 1 1
direct
0.0000 0.0000 0.0000
0.7500 0.7500 0.7500
0.2500 0.2500 0.2500
0.5000 0.5000 0.5000
```

Computed properties:
Space-group type   No. 216

---

Which is most stable? The ranking, best first, is <P>, <Q>.

---

<P>
# PmDy2Pt

A geometry-optimized PmDy2Pt structure (GGA-PBE, the Alexandria database).

```
PmDy2Pt
1.0
3.5703 0.0000 0.0000
0.0000 3.5703 0.0000
0.0000 0.0000 8.6055
Pm Dy Pt
1 2 1
direct
0.0000 0.0000 0.0000
0.5000 0.5000 0.3097
0.5000 0.5000 0.6903
0.0000 0.0000 0.5000
```

Computed properties:
Space-group type   No. 123

---

<Q>
# PmDy2Pt

A geometry-optimized PmDy2Pt structure (GGA-PBE, the Alexandria database).

```
PmDy2Pt
1.0
3.8245 0.0000 0.0000
0.0000 9.3158 0.0000
-1.9064 0.0000 6.2052
Pm Dy Pt
2 4 2
direct
0.0645 0.2500 0.1300
0.9355 0.7500 0.8700
0.3621 0.0624 0.7234
0.3621 0.4376 0.7234
0.6379 0.5624 0.2766
0.6379 0.9376 0.2766
0.2370 0.7500 0.4748
0.7630 0.2500 0.5252
```

Computed properties:
Space-group type   No. 11

---

Which is most stable? The ranking, best first, is <Q>, <P>.

---

<P>
# PmDy2Pt

A geometry-optimized PmDy2Pt structure (GGA-PBE, the Alexandria database).

```
PmDy2Pt
1.0
1.9796 1.1429 9.0177
-1.9796 1.1429 9.0177
0.0000 -2.2858 9.0177
Pm Dy Pt
1 2 1
direct
0.0000 0.0000 0.0000
0.5575 0.5575 0.5575
0.7714 0.7714 0.7714
0.1638 0.1638 0.1638
```

Computed properties:
Space-group type   No. 160

---

<Q>
# PmDy2Pt

A geometry-optimized PmDy2Pt structure (GGA-PBE, the Alexandria database).

```
PmDy2Pt
1.0
7.1306 0.0000 0.0000
0.0000 9.6384 0.0000
0.0000 0.0000 6.5567
Pm Dy Pt
4 8 4
direct
0.0234 0.2500 0.1333
0.4766 0.7500 0.6333
0.5234 0.2500 0.3667
0.9766 0.7500 0.8667
0.1778 0.0620 0.6740
0.1778 0.4380 0.6740
0.3222 0.5620 0.1740
0.3222 0.9380 0.1740
0.6778 0.0620 0.8260
0.6778 0.4380 0.8260
0.8222 0.5620 0.3260
0.8222 0.9380 0.3260
0.1145 0.7500 0.4343
0.3855 0.2500 0.9343
0.6145 0.7500 0.0657
0.8855 0.2500 0.5657
```

Computed properties:
Space-group type   No. 62

---

Which is most stable? The ranking, best first, is <Q>, <P>.